Entry from Alexandria via LeMat-Bulk: an optimized crystal structure of Co2BiF (PBE+U).

Unit cell a=4.624 b=4.624 c=4.624 alpha=60.00 beta=60.00 gamma=60.00
Fractional positions:
1 F 0.000 0.000 0.000
2 Co 0.750 0.750 0.750
3 Co 0.250 0.250 0.250
4 Bi 0.500 0.500 0.500

## Properties
The distance to the lowest polymorph of the same formula is 5.54 kcal/mol of atoms. Its total magnetization is 5.6 μB/f.u. The space-group type is Fm-3m (225).